No. 1
Crystalline K2Zn3Au4 at its relaxed geometry, computed with GGA-PBE.

Calculated values
- Uncorrected energy: -2.292 eV per atom

Structure (CIF):
```
data_K2Zn3Au4
_cell_length_a 6.215
_cell_length_b 6.125
_cell_length_c 13.272
_cell_angle_alpha 83.18
_cell_angle_beta 76.46
_cell_angle_gamma 59.52
_symmetry_space_group_name_H-M 'P 1'
_symmetry_Int_Tables_number 1
_symmetry_space_group_name_Hall 'P 1'
loop_
_atom_site_label
_atom_site_type_symbol
_atom_site_fract_x
_atom_site_fract_y
_atom_site_fract_z
K1 K 0.173 0.500 0.655
K2 K 0.327 0.500 0.345
K3 K 0.577 0.000 0.845
K4 K 0.423 0.000 0.155
Zn1 Zn 0.262 0.000 0.475
Zn2 Zn 0.012 0.500 0.975
Zn3 Zn 0.488 0.500 0.025
Zn4 Zn 0.000 0.000 0.000
Zn5 Zn 0.750 0.500 0.500
Zn6 Zn 0.738 0.000 0.525
Au1 Au 0.849 0.332 0.851
Au2 Au 0.301 0.668 0.851
Au3 Au 0.820 0.332 0.149
Au4 Au 0.719 0.832 0.351
Au5 Au 0.901 0.168 0.649
Au6 Au 0.031 0.668 0.149
Au7 Au 0.930 0.168 0.351
Au8 Au 0.449 0.832 0.649
```


No. 2
Crystalline K2ZnAu at its relaxed geometry, computed with GGA-PBE.

Calculated values
- Energy above the lowest structure with this stoichiometry: 55.8 meV per atom

Structure (CIF):
```
data_K2ZnAu
_cell_length_a 6.739
_cell_length_b 6.739
_cell_length_c 5.350
_cell_angle_alpha 66.59
_cell_angle_beta 66.59
_cell_angle_gamma 38.17
_symmetry_space_group_name_H-M 'P 1'
_symmetry_Int_Tables_number 1
_symmetry_space_group_name_Hall 'P 1'
loop_
_atom_site_label
_atom_site_type_symbol
_atom_site_fract_x
_atom_site_fract_y
_atom_site_fract_z
Zn1 Zn 0.567 0.567 0.433
Au1 Au 0.186 0.186 0.314
K1 K 0.978 0.978 0.022
K2 K 0.769 0.769 0.731
```


No. 3
Crystalline K3Zn3Au2 at its relaxed geometry, computed with GGA-PBE.

Calculated values
- Energy above the lowest structure with this stoichiometry: 0.0 meV per atom

Structure (CIF):
```
data_K3Zn3Au2
_cell_length_a 4.550
_cell_length_b 6.592
_cell_length_c 16.917
_cell_angle_alpha 90.00
_cell_angle_beta 90.00
_cell_angle_gamma 110.19
_symmetry_space_group_name_H-M 'P 1'
_symmetry_Int_Tables_number 1
_symmetry_space_group_name_Hall 'P 1'
loop_
_atom_site_label
_atom_site_type_symbol
_atom_site_fract_x
_atom_site_fract_y
_atom_site_fract_z
K1 K 0.957 0.915 0.394
K2 K 0.043 0.085 0.894
K3 K 0.957 0.915 0.106
K4 K 0.043 0.085 0.606
K5 K 0.643 0.285 0.250
K6 K 0.357 0.715 0.750
Zn1 Zn 0.696 0.392 0.461
Zn2 Zn 0.304 0.608 0.961
Zn3 Zn 0.696 0.392 0.039
Zn4 Zn 0.304 0.608 0.539
Zn5 Zn 0.341 0.682 0.250
Zn6 Zn 0.659 0.318 0.750
Au1 Au 0.756 0.512 0.888
Au2 Au 0.244 0.488 0.388
Au3 Au 0.756 0.512 0.612
Au4 Au 0.244 0.488 0.112
```


No. 4
Crystalline K3Zn4Au2 at its relaxed geometry, computed with GGA-PBE.

Calculated values
- Energy above the lowest structure with this stoichiometry: 0.0 meV per atom

Structure (CIF):
```
data_K3Zn4Au2
_cell_length_a 4.532
_cell_length_b 6.576
_cell_length_c 9.343
_cell_angle_alpha 108.70
_cell_angle_beta 90.00
_cell_angle_gamma 110.16
_symmetry_space_group_name_H-M 'P 1'
_symmetry_Int_Tables_number 1
_symmetry_space_group_name_Hall 'P 1'
loop_
_atom_site_label
_atom_site_type_symbol
_atom_site_fract_x
_atom_site_fract_y
_atom_site_fract_z
K1 K 0.373 0.746 0.628
K2 K 0.000 0.000 0.000
K3 K 0.627 0.254 0.372
Zn1 Zn 0.754 0.507 0.081
Zn2 Zn 0.083 0.167 0.633
Zn3 Zn 0.917 0.833 0.367
Zn4 Zn 0.246 0.493 0.919
Au1 Au 0.324 0.648 0.226
Au2 Au 0.676 0.352 0.774
```


What did the first record say?
Crystalline K2Zn3Au4 at its relaxed geometry, computed with GGA-PBE.

Calculated values
- Uncorrected energy: -2.292 eV per atom

Structure (CIF):
```
data_K2Zn3Au4
_cell_length_a 6.215
_cell_length_b 6.125
_cell_length_c 13.272
_cell_angle_alpha 83.18
_cell_angle_beta 76.46
_cell_angle_gamma 59.52
_symmetry_space_group_name_H-M 'P 1'
_symmetry_Int_Tables_number 1
_symmetry_space_group_name_Hall 'P 1'
loop_
_atom_site_label
_atom_site_type_symbol
_atom_site_fract_x
_atom_site_fract_y
_atom_site_fract_z
K1 K 0.173 0.500 0.655
K2 K 0.327 0.500 0.345
K3 K 0.577 0.000 0.845
K4 K 0.423 0.000 0.155
Zn1 Zn 0.262 0.000 0.475
Zn2 Zn 0.012 0.500 0.975
Zn3 Zn 0.488 0.500 0.025
Zn4 Zn 0.000 0.000 0.000
Zn5 Zn 0.750 0.500 0.500
Zn6 Zn 0.738 0.000 0.525
Au1 Au 0.849 0.332 0.851
Au2 Au 0.301 0.668 0.851
Au3 Au 0.820 0.332 0.149
Au4 Au 0.719 0.832 0.351
Au5 Au 0.901 0.168 0.649
Au6 Au 0.031 0.668 0.149
Au7 Au 0.930 0.168 0.351
Au8 Au 0.449 0.832 0.649
```


Q: What is the formula in the fourth record?
A: K3Zn4Au2